Computed, not measured: Dy2CoPtO6 after structural relaxation at the PBE+U level of DFT.

Cell lengths 5.7864, 5.3197, 9.3465 Å; angles 55.28, 90.00, 90.00 degrees
Each line ends with the local moment (μB).
Fractional positions:
Dy 0.4229 0.7240 0.2502  0.01
Dy 0.5771 0.2760 0.7498  0.01
Dy 0.9229 0.2760 0.2498  0.01
Dy 0.0771 0.7240 0.7502  0.01
O 0.1892 0.6239 0.0602  0.03
O 0.4498 0.8774 0.7493  0.04
O 0.0502 0.8774 0.2493  0.04
O 0.8108 0.3761 0.9398  0.03
O 0.5502 0.1226 0.2507  0.04
O 0.1958 0.2440 0.4370  0.04
O 0.6892 0.3761 0.4398  0.03
O 0.3108 0.6239 0.5602  0.03
O 0.9498 0.1226 0.7507  0.04
O 0.6958 0.7560 0.0630  0.04
O 0.3042 0.2440 0.9370  0.04
O 0.8042 0.7560 0.5630  0.04
Pt 0.5000 0.0000 0.5000  0.05
Pt 0.0000 0.0000 0.0000  0.05
Co 0.5000 0.5000 0.0000  2.65
Co 0.0000 0.5000 0.5000  2.65

Electronic total energy = -71.95 eV per formula unit
Total magnetic moment = 5.94 μB/cell
Fermi-level density of states = 0.0000 states/eV/atom